4
Lattice="2.130 -2.133 0.000 2.130 2.133 0.000 0.000 0.000 8.325" Properties=species:S:1:pos:R:3 comment="Hg2PRh | Alexandria via LeMat-Bulk | PBE | relaxed" crystal_system=tetragonal volume_a3_per_cell=75.6 e_form_ev_per_atom=0.480 pbc="T T T"
P 2.130 0.000 4.163
Hg 0.000 0.000 6.424
Hg 0.000 0.000 1.902
Rh 2.130 0.000 0.000